A geometry-optimized InFeOs2 structure, computed with PBE-GGA.

The structure belongs to space group Imm2 (No. 44); the cell edges are 3.058, 4.451 and 8.883 Å and the angles 90.00°, 90.00° and 90.00°. Symmetry generates all atoms from In at (0.000, 0.000, 0.000), Fe at (0.000, 0.500, 0.748), Os at (0.000, 0.000, 0.484) and Os at (0.000, 0.500, 0.236).

The density of states at the Fermi level comes out at 0.832 states/eV per atom. The value obtained for the volume is 15.1 Å³ per atom. The formation energy comes out at 0.51 eV per atom.